# Sc3SI7

Crystalline Sc3SI7 at its relaxed geometry (PBE, Alexandria via LeMat-Bulk).

The structure in POSCAR format:
```
Sc3SI7
1.0
8.184 0.000 0.000
-4.092 7.087 0.000
0.000 0.000 7.453
Sc S I
3 1 7
direct
0.023 0.511 0.000
0.489 0.511 0.000
0.489 0.977 0.000
0.333 0.667 0.161
0.168 0.335 0.761
0.168 0.832 0.761
0.338 0.169 0.215
0.665 0.832 0.761
0.667 0.333 0.768
0.831 0.169 0.215
0.831 0.662 0.215
```

Values from the calculation:
Its space group is P3m1 (156). The uncorrected formation energy comes out at -1.3171 eV/atom.